Record 1
Here is a relaxed structure of Pr3ScSn2 from Alexandria. Energies are from PBE-GGA.

Volume, A^3/atom: 30.6
Crystal system: orthorhombic
Excess energy over the best structure of this formula in the dataset, eV per formula unit: 0.16

Cell and atoms, written as POSCAR:
```
Pr3ScSn2
1.0
6.571 0.000 0.000
0.000 6.508 0.000
-3.286 -3.254 8.593
Sn Pr Sc
4 6 2
Direct
0.362 0.132 0.264
0.098 0.368 0.736
0.902 0.632 0.264
0.638 0.868 0.736
0.500 0.750 0.000
0.500 0.250 0.000
0.917 0.176 0.351
0.566 0.324 0.649
0.083 0.824 0.649
0.434 0.676 0.351
0.000 0.750 0.000
0.000 0.250 0.000
```

Record 2
Here is a relaxed structure of Y2MnRu3 from Alexandria. Energies are from PBE-GGA.

Final energy, eV per atom: -8.59
Volume, A^3/atom: 17.9
Crystal system: trigonal

Cell and atoms, written as POSCAR:
```
Y2MnRu3
1.0
-4.201 -3.328 0.542
4.895 -1.996 -1.037
1.936 2.595 4.166
Y Ru Mn
2 3 1
Direct
0.249 0.625 0.874
0.751 0.375 0.126
0.500 0.500 0.500
0.000 0.000 0.500
0.500 0.000 0.500
0.000 0.000 0.000
```

Record 3
Here is a relaxed structure of U2TcRu from Alexandria. Energies are from PBE-GGA.

Final energy, eV per atom: -10.67
Volume, A^3/atom: 18.5
Crystal system: triclinic

Cell and atoms, written as POSCAR:
```
U2TcRu
1.0
5.360 0.710 0.266
0.691 6.162 0.146
0.282 0.242 9.093
U Ru Tc
8 4 4
Direct
0.853 0.390 0.641
0.426 0.119 0.873
0.927 0.618 0.855
0.667 0.123 0.352
0.333 0.877 0.648
0.147 0.610 0.359
0.574 0.881 0.127
0.073 0.382 0.145
0.602 0.379 0.120
0.398 0.621 0.880
0.363 0.372 0.610
0.637 0.628 0.390
0.097 0.877 0.115
0.179 0.085 0.389
0.903 0.123 0.885
0.821 0.915 0.611
```

Record 4
Here is a relaxed structure of Li3InAg from Alexandria. Energies are from PBE-GGA.

Volume, A^3/atom: 22.9
Crystal system: cubic
Excess energy over the best structure of this formula in the dataset, eV per formula unit: 1.45

Cell and atoms, written as POSCAR:
```
Li3InAg
1.0
-2.767 -1.455 -3.718
-1.727 -3.642 2.711
-3.600 2.866 1.557
Ag Li In
1 3 1
Direct
0.000 0.000 0.000
0.000 0.000 0.500
0.500 0.000 0.000
0.000 0.500 0.000
0.500 0.500 0.500
```

Record 5
Here is a relaxed structure of AcPuInGa from Alexandria. Energies are from PBE-GGA.

Final energy, eV per atom: -6.27
Volume, A^3/atom: 29.2
Crystal system: cubic

Cell and atoms, written as POSCAR:
```
AcPuInGa
1.0
5.489 0.000 0.000
2.744 4.753 0.000
2.744 1.584 4.481
Pu Ac Ga In
1 1 1 1
Direct
0.500 0.500 0.500
0.000 0.000 0.000
0.250 0.250 0.250
0.750 0.750 0.750
```

Record 6
Here is a relaxed structure of LaErPuSc from Alexandria. Energies are from PBE-GGA.

Final energy, eV per atom: -7.33
Volume, A^3/atom: 30.0
Crystal system: cubic

Cell and atoms, written as POSCAR:
```
LaErPuSc
1.0
-2.468 -3.697 3.303
2.689 -4.604 1.498
1.719 -0.626 5.227
Pu Sc La Er
1 1 1 1
Direct
0.750 0.750 0.750
0.000 0.000 0.000
0.250 0.250 0.250
0.500 0.500 0.500
```

Record 7
Here is a relaxed structure of Sr2HIrBr from Alexandria. Energies are from PBE-GGA.

Final energy, eV per atom: -3.45
Volume, A^3/atom: 33.5
Crystal system: tetragonal

Cell and atoms, written as POSCAR:
```
Sr2HIrBr
1.0
5.744 0.000 0.000
0.000 5.077 0.000
0.000 0.000 5.744
Br Sr H Ir
1 2 1 1
Direct
0.000 0.500 0.000
0.500 0.000 0.000
0.000 0.000 0.500
0.500 0.500 0.500
0.000 0.000 0.000
```

Record 8
Here is a relaxed structure of ZrInNi4 from Alexandria. Energies are from PBE-GGA.

Final energy, eV per atom: -6.11
Volume, A^3/atom: 13.9
Crystal system: cubic

Cell and atoms, written as POSCAR:
```
ZrInNi4
1.0
4.904 0.000 0.000
2.452 4.247 0.000
2.452 1.416 4.004
Ni In Zr
4 1 1
Direct
0.625 0.625 0.625
0.625 0.625 0.125
0.125 0.625 0.625
0.625 0.125 0.625
0.000 0.000 0.000
0.250 0.250 0.250
```

Record 9
Here is a relaxed structure of KFeI2N from Alexandria. Energies are from PBE-GGA.

Volume, A^3/atom: 41.5
Crystal system: tetragonal
Excess energy over the best structure of this formula in the dataset, eV per formula unit: 7.19
E_form (uncorrected), eV/atom: 1.328

Cell and atoms, written as POSCAR:
```
KFeI2N
1.0
-5.283 -3.668 0.196
0.214 0.036 6.430
-2.859 4.121 0.072
Fe K I N
1 1 2 1
Direct
0.500 0.500 0.500
0.000 0.000 0.000
0.500 0.000 0.000
0.000 0.500 0.000
0.000 0.000 0.500
```

Record 10
Here is a relaxed structure of SmDy2ScBi4 from Alexandria. Energies are from PBE-GGA.

Final energy, eV per atom: -5.28
Volume, A^3/atom: 31.2
Crystal system: monoclinic

Cell and atoms, written as POSCAR:
```
SmDy2ScBi4
1.0
4.453 0.000 0.000
0.000 7.704 0.131
0.000 -2.695 7.225
Sc Sm Bi Dy
1 1 4 2
Direct
0.500 0.500 0.000
0.000 0.000 0.000
0.000 0.739 0.243
0.500 0.742 0.751
0.500 0.258 0.249
0.000 0.261 0.757
0.000 0.500 0.500
0.500 0.000 0.500
```

Record 11
Here is a relaxed structure of Bi2IrPtI from Alexandria. Energies are from PBE-GGA.

Volume, A^3/atom: 30.4
Crystal system: tetragonal
E_form (uncorrected), eV/atom: 1.137

Cell and atoms, written as POSCAR:
```
Bi2IrPtI
1.0
5.372 0.000 0.000
0.000 5.262 0.000
0.000 0.000 5.372
Pt Bi I Ir
1 2 1 1
Direct
0.000 0.000 0.000
0.000 0.000 0.500
0.500 0.000 0.000
0.000 0.500 0.000
0.500 0.500 0.500
```

Record 12
Here is a relaxed structure of NiHg2PbCl from Alexandria. Energies are from PBE-GGA.

Volume, A^3/atom: 26.3
Crystal system: tetragonal
E_form (uncorrected), eV/atom: -0.149

Cell and atoms, written as POSCAR:
```
NiHg2PbCl
1.0
5.069 0.000 0.000
0.000 5.069 0.000
0.000 0.000 5.125
Pb Cl Hg Ni
1 1 2 1
Direct
0.000 0.000 0.500
0.500 0.500 0.500
0.000 0.500 0.000
0.500 0.000 0.000
0.000 0.000 0.000
```

Record 13
Here is a relaxed structure of CdPBrCl2 from Alexandria. Energies are from PBE-GGA.

Volume, A^3/atom: 38.3
Crystal system: tetragonal
Excess energy over the best structure of this formula in the dataset, eV per formula unit: 0.00
E_form (uncorrected), eV/atom: 0.211

Cell and atoms, written as POSCAR:
```
CdPBrCl2
1.0
4.861 0.000 0.000
0.000 4.861 0.000
0.000 0.000 8.106
Br Cd Cl P
1 1 2 1
Direct
0.500 0.500 0.500
0.000 0.000 0.000
0.500 0.000 0.000
0.000 0.500 0.000
0.000 0.000 0.500
```

Record 14
Here is a relaxed structure of Ho3Ga2Au from Alexandria. Energies are from PBE-GGA.

Final energy, eV per atom: -4.51
Volume, A^3/atom: 22.7
Crystal system: tetragonal

Cell and atoms, written as POSCAR:
```
Ho3Ga2Au
1.0
-2.322 1.137 2.460
2.392 -0.664 2.564
3.827 9.957 -0.990
Au Ga Ho
1 2 3
Direct
0.500 0.500 0.500
0.500 0.500 0.834
0.500 0.500 0.166
0.000 0.000 0.333
0.000 0.000 0.000
0.000 0.000 0.667
```

Record 15
Here is a relaxed structure of FeHgRh2N from Alexandria. Energies are from PBE-GGA.

Volume, A^3/atom: 13.6
Crystal system: tetragonal
E_form (uncorrected), eV/atom: 0.130

Cell and atoms, written as POSCAR:
```
FeHgRh2N
1.0
-1.241 2.958 -2.704
-1.937 -2.921 -2.307
-3.235 0.522 2.056
Rh Hg Fe N
2 1 1 1
Direct
0.500 0.000 0.000
0.000 0.500 0.000
0.500 0.500 0.500
0.000 0.000 0.500
0.000 0.000 0.000
```

Record 16
Here is a relaxed structure of Ba2ScTc from Alexandria. Energies are from PBE-GGA.

Volume, A^3/atom: 34.1
Crystal system: orthorhombic
Excess energy over the best structure of this formula in the dataset, eV per formula unit: 0.61

Cell and atoms, written as POSCAR:
```
Ba2ScTc
1.0
6.399 0.000 -0.003
2.018 6.073 0.003
-3.450 -4.087 3.513
Tc Ba Sc
1 2 1
Direct
0.306 0.806 0.500
0.045 0.045 0.000
0.731 0.231 0.500
0.418 0.418 0.000
```

Record 17
Here is a relaxed structure of Pm2YHgN from Alexandria. Energies are from PBE-GGA.

Volume, A^3/atom: 23.9
Crystal system: tetragonal
E_form (uncorrected), eV/atom: -0.840

Cell and atoms, written as POSCAR:
```
Pm2YHgN
1.0
4.792 0.000 0.000
0.000 4.989 0.000
0.000 0.000 4.989
Y Pm N Hg
1 2 1 1
Direct
0.500 0.000 0.000
0.000 0.500 0.000
0.000 0.000 0.500
0.000 0.000 0.000
0.500 0.500 0.500
```

Record 18
Here is a relaxed structure of NaSn2Hg2 from Alexandria. Energies are from PBE-GGA.

Volume, A^3/atom: 27.4
Crystal system: tetragonal
Excess energy over the best structure of this formula in the dataset, eV per formula unit: 0.32

Cell and atoms, written as POSCAR:
```
NaSn2Hg2
1.0
-3.630 -7.463 -2.065
6.475 -1.674 -5.331
1.857 -1.673 2.781
Sn Na Hg
4 2 4
Direct
0.141 0.641 0.500
0.641 0.859 0.500
0.859 0.359 0.500
0.359 0.141 0.500
0.500 0.500 0.000
0.000 0.000 0.000
0.342 0.842 0.000
0.158 0.342 0.000
0.658 0.158 0.000
0.842 0.658 0.000
```

Record 19
Here is a relaxed structure of CoMo3 from Alexandria. Energies are from PBE-GGA.

Final energy, eV per atom: -9.70
Volume, A^3/atom: 14.7
Crystal system: orthorhombic

Cell and atoms, written as POSCAR:
```
CoMo3
1.0
5.109 0.000 0.000
0.000 8.767 0.000
0.000 0.000 5.237
Co Mo
4 12
Direct
0.559 0.750 0.911
0.059 0.750 0.589
0.941 0.250 0.411
0.441 0.250 0.089
0.772 0.977 0.632
0.228 0.023 0.368
0.728 0.023 0.132
0.228 0.477 0.368
0.996 0.250 0.906
0.728 0.477 0.132
0.772 0.523 0.632
0.496 0.250 0.594
0.504 0.750 0.406
0.272 0.523 0.868
0.272 0.977 0.868
0.004 0.750 0.094
```

Record 20
Here is a relaxed structure of Ca2HfTi from Alexandria. Energies are from PBE-GGA.

Volume, A^3/atom: 27.8
Crystal system: tetragonal
Excess energy over the best structure of this formula in the dataset, eV per formula unit: 0.70

Cell and atoms, written as POSCAR:
```
Ca2HfTi
1.0
8.560 0.000 0.000
0.000 8.560 0.000
4.280 4.280 3.035
Ca Hf Ti
4 2 2
Direct
0.141 0.625 0.250
0.609 0.125 0.250
0.375 0.391 0.750
0.875 0.859 0.750
0.000 0.000 0.000
0.750 0.250 0.500
0.250 0.750 0.500
0.500 0.500 0.000
```